Ga5Fe2Ni12 | Alexandria | PBE | relaxed; energy of formation from the pure elements = -0.16 eV/atom; volume = 12.14 A^3/atom; M_tot = 0.393 μB/atom; N(E_F) = 0.73 states/eV/atom
1.0
7.017 0.000 0.000
-3.508 5.780 0.806
0.000 -1.018 5.545
Ga Fe Ni
5 2 12
Cartesian
3.508 2.459 3.022 Ga
3.508 0.882 5.390 Ga
0.000 3.880 0.960 Ga
0.000 -0.509 2.772 Ga
0.000 2.303 3.329 Ga
5.427 0.000 0.000 Fe
1.590 0.000 0.000 Fe
0.000 0.713 5.136 Ni
3.508 0.250 1.619 Ni
5.069 0.571 3.503 Ni
0.000 4.512 4.732 Ni
1.948 0.571 3.503 Ni
1.561 4.191 2.847 Ni
1.616 2.045 1.435 Ni
-1.892 2.717 4.916 Ni
1.892 2.717 4.916 Ni
-1.561 4.191 2.847 Ni
5.401 2.045 1.435 Ni
3.508 4.049 1.215 Ni